# 1
{"formula": "CaErIr", "functional": "PBE", "state": "relaxed", "lattice_angstrom": [[-2.823, -3.547, 2.632], [-5.005, -4.901, -5.493], [2.494, -8.301, -2.030]], "species": ["Ca", "Ca", "Ca", "Ca", "Ir", "Ir", "Ir", "Ir", "Er", "Er", "Er", "Er"], "frac_coords": [[0.802, 0.843, 0.593], [0.198, 0.157, 0.407], [0.198, 0.657, 0.907], [0.802, 0.343, 0.093], [0.115, 0.976, 0.226], [0.885, 0.024, 0.774], [0.115, 0.476, 0.726], [0.885, 0.524, 0.274], [0.281, 0.102, 0.852], [0.719, 0.398, 0.648], [0.719, 0.898, 0.148], [0.281, 0.602, 0.352]], "magnetic_moment_mub_per_cell": 0.0, "polymorph_energy_mev_per_atom": 0.0, "e_form_ev_per_atom": -0.574, "crystal_system": "monoclinic"}

=====

# 2
{"formula": "CaEr3Ir4", "functional": "PBE", "state": "relaxed", "lattice_angstrom": [[4.829, 0.000, 0.000], [0.000, 6.713, 0.000], [0.000, 0.000, 9.658]], "species": ["Er", "Er", "Er", "Er", "Er", "Er", "Ir", "Ir", "Ir", "Ir", "Ir", "Ir", "Ir", "Ir", "Ca", "Ca"], "frac_coords": [[0.500, 0.500, 0.250], [0.000, 0.000, 0.000], [0.500, 0.000, 0.250], [0.000, 0.000, 0.500], [0.500, 0.000, 0.750], [0.500, 0.500, 0.750], [0.000, 0.243, 0.250], [0.500, 0.757, 0.000], [0.500, 0.243, 0.500], [0.500, 0.243, 0.000], [0.500, 0.757, 0.500], [0.000, 0.757, 0.250], [0.000, 0.757, 0.750], [0.000, 0.243, 0.750], [0.000, 0.500, 0.000], [0.000, 0.500, 0.500]], "magnetic_moment_mub_per_cell": 0.0, "e_form_ev_per_atom": -0.710, "crystal_system": "tetragonal"}

=====

# 3
{"formula": "CaErIr", "functional": "PBE", "state": "relaxed", "lattice_angstrom": [[3.427, 0.000, 0.000], [0.000, 3.427, 0.000], [-1.713, -1.713, 6.563]], "species": ["Er", "Ca", "Ir"], "frac_coords": [[0.289, 0.289, 0.577], [0.034, 0.034, 0.069], [0.677, 0.677, 0.354]], "magnetic_moment_mub_per_cell": 0.0, "polymorph_energy_mev_per_atom": 71.1, "e_form_ev_per_atom": -0.503, "crystal_system": "tetragonal"}

=====

# 4
{"formula": "LiCaErIr", "functional": "PBE", "state": "relaxed", "lattice_angstrom": [[-3.596, 3.334, -0.342], [-4.131, -0.565, 2.604], [-0.947, 2.990, 3.785]], "species": ["Li", "Er", "Ca", "Ir"], "frac_coords": [[0.000, 0.000, 0.000], [0.750, 0.750, 0.750], [0.250, 0.250, 0.250], [0.500, 0.500, 0.500]], "magnetic_moment_mub_per_cell": 0.0, "e_form_ev_per_atom": -0.401, "crystal_system": "cubic"}

=====

# 5
{"formula": "CaErNiIr", "functional": "PBE", "state": "relaxed", "lattice_angstrom": [[-0.707, -2.744, -3.858], [0.257, -4.765, 0.372], [-3.973, -2.646, -0.359]], "species": ["Ni", "Er", "Ca", "Ir"], "frac_coords": [[0.250, 0.250, 0.250], [0.000, 0.000, 0.000], [0.500, 0.500, 0.500], [0.750, 0.750, 0.750]], "magnetic_moment_mub_per_cell": 0.0, "e_form_ev_per_atom": -0.409, "crystal_system": "cubic"}

=====

# 6
{"formula": "CaEr2IrO8", "functional": "PBE", "state": "relaxed", "lattice_angstrom": [[5.005, -0.029, -0.003], [-0.008, 4.996, -0.005], [0.004, 0.007, 6.839]], "species": ["O", "O", "O", "O", "O", "O", "O", "O", "Er", "Er", "Ca", "Ir"], "frac_coords": [[0.686, 0.688, 0.500], [0.727, 0.729, 0.000], [0.273, 0.271, 0.000], [0.185, 0.813, 0.199], [0.815, 0.187, 0.801], [0.815, 0.187, 0.199], [0.314, 0.312, 0.500], [0.185, 0.813, 0.801], [0.500, 0.500, 0.744], [0.500, 0.500, 0.256], [0.000, 0.000, 0.500], [0.000, 0.000, 0.000]], "magnetic_moment_mub_per_cell": 0.9, "e_form_raw_mev_per_atom": -2119, "crystal_system": "monoclinic"}

=====

# 7
{"formula": "CaErIrO6", "functional": "PBE", "state": "relaxed", "lattice_angstrom": [[-4.561, 3.026, 0.656], [2.787, -1.778, 4.412], [5.324, 8.050, -0.119]], "species": ["O", "O", "O", "O", "O", "O", "O", "O", "O", "O", "O", "O", "Ca", "Ca", "Ir", "Ir", "Er", "Er"], "frac_coords": [[0.662, 0.620, 0.138], [0.620, 0.662, 0.638], [0.958, 0.338, 0.138], [0.042, 0.380, 0.638], [0.620, 0.958, 0.862], [0.380, 0.338, 0.362], [0.958, 0.620, 0.362], [0.042, 0.662, 0.862], [0.338, 0.958, 0.638], [0.662, 0.042, 0.362], [0.380, 0.042, 0.138], [0.338, 0.380, 0.862], [0.000, 0.000, 0.000], [0.000, 0.000, 0.500], [0.667, 0.333, 0.250], [0.333, 0.667, 0.750], [0.667, 0.333, 0.750], [0.333, 0.667, 0.250]], "magnetic_moment_mub_per_cell": 4.0, "e_form_raw_mev_per_atom": -1920, "crystal_system": "trigonal"}

=====

# 8
{"formula": "CaErIrPt", "functional": "PBE", "state": "relaxed", "lattice_angstrom": [[-4.551, -1.639, -0.395], [-2.280, -1.790, 3.892], [-3.653, 2.472, 2.023]], "species": ["Ir", "Er", "Pt", "Ca"], "frac_coords": [[0.250, 0.250, 0.250], [0.500, 0.500, 0.500], [0.750, 0.750, 0.750], [0.000, 0.000, 0.000]], "magnetic_moment_mub_per_cell": 0.0, "e_form_ev_per_atom": -0.797, "crystal_system": "cubic"}

=====

# 9
{"formula": "KCa2Er", "functional": "PBE", "state": "relaxed", "lattice_angstrom": [[-2.701, 1.993, -1.825], [-2.616, -2.575, 1.059], [-2.119, 6.246, 9.959]], "species": ["Ca", "Ca", "K", "Er"], "frac_coords": [[0.000, 0.000, 0.209], [0.000, 0.000, 0.791], [0.500, 0.500, 0.500], [0.500, 0.500, 0.000]], "magnetic_moment_mub_per_cell": 0.7, "e_form_ev_per_atom": 0.173, "crystal_system": "tetragonal"}

=====

# 10
{"formula": "K3CaEr2S6", "functional": "PBE", "state": "relaxed", "lattice_angstrom": [[7.023, -0.001, 0.000], [-3.511, 6.083, 0.000], [-1.172, -2.029, 7.376]], "species": ["Ca", "S", "S", "S", "S", "S", "S", "K", "K", "K", "Er", "Er"], "frac_coords": [[0.000, 0.000, 0.000], [0.414, 0.068, 0.203], [0.068, 0.414, 0.203], [0.722, 0.722, 0.202], [0.278, 0.278, 0.798], [0.932, 0.586, 0.797], [0.586, 0.932, 0.797], [0.500, 0.500, 0.500], [0.164, 0.836, 0.500], [0.836, 0.164, 0.500], [0.333, 0.667, 0.000], [0.667, 0.333, 0.000]], "magnetic_moment_mub_per_cell": 0.0, "e_form_raw_mev_per_atom": -1697, "crystal_system": "monoclinic"}

=====

# 11
{"formula": "CaLa3Er", "functional": "PBE", "state": "relaxed", "lattice_angstrom": [[-3.693, 0.328, 5.199], [5.131, -3.693, -0.897], [6.753, 8.350, 4.267]], "species": ["Er", "Er", "La", "La", "La", "La", "La", "La", "Ca", "Ca"], "frac_coords": [[0.140, 0.860, 0.000], [0.860, 0.140, 0.000], [0.000, 0.000, 0.307], [0.349, 0.650, 0.189], [0.350, 0.651, 0.811], [0.000, 0.000, 0.693], [0.650, 0.349, 0.189], [0.651, 0.350, 0.811], [0.657, 0.343, 0.500], [0.343, 0.657, 0.500]], "magnetic_moment_mub_per_cell": 0.0, "e_form_ev_per_atom": 0.139, "crystal_system": "orthorhombic"}

=====

# 12
{"formula": "CaLaEr4", "functional": "PBE", "state": "relaxed", "lattice_angstrom": [[-4.845, -4.572, 0.421], [-1.935, -2.271, 5.970], [-5.980, 1.690, 2.435]], "species": ["Er", "Er", "Er", "Er", "La", "Ca"], "frac_coords": [[0.624, 0.624, 0.624], [0.624, 0.624, 0.127], [0.624, 0.127, 0.624], [0.127, 0.624, 0.624], [0.250, 0.250, 0.250], [0.000, 0.000, 0.000]], "magnetic_moment_mub_per_cell": 0.0, "e_form_ev_per_atom": 0.218, "crystal_system": "cubic"}